1.
Computed, not measured: crystalline Sr2YSbPd at its relaxed geometry at the PBE level of DFT. Values from VASP.

```
&SYSTEM
  ibrav = 0, nat = 5, ntyp = 4
/
ATOMIC_SPECIES
Sr 87.62 Sr.upf
Y 88.91 Y.upf
Sb 121.76 Sb.upf
Pd 106.42 Pd.upf
CELL_PARAMETERS angstrom
6.470 0.000 0.000
0.000 6.470 0.000
0.000 0.000 5.565
ATOMIC_POSITIONS crystal
Sr 0.000 0.500 0.000
Sr 0.500 0.000 0.000
Y 0.000 0.000 0.000
Sb 0.000 0.000 0.500
Pd 0.500 0.500 0.500
```

Values from the calculation:
E_form (uncorrected) ... 644 meV/atom
Space-group type ... P4/mmm

2.
Computed, not measured: crystalline In2Pb3Au3 at its relaxed geometry at the PBE level of DFT. Values from VASP.

```
&SYSTEM
  ibrav = 0, nat = 16, ntyp = 3
/
ATOMIC_SPECIES
In 114.82 In.upf
Pb 207.20 Pb.upf
Au 196.97 Au.upf
CELL_PARAMETERS angstrom
1.889 -6.891 0.000
1.889 6.891 0.000
0.000 0.000 15.463
ATOMIC_POSITIONS crystal
In 0.236 0.764 0.588
In 0.236 0.764 0.912
In 0.764 0.236 0.088
In 0.764 0.236 0.412
Pb 0.046 0.954 0.132
Pb 0.046 0.954 0.368
Pb 0.368 0.632 0.250
Pb 0.632 0.368 0.750
Pb 0.954 0.046 0.632
Pb 0.954 0.046 0.868
Au 0.325 0.675 0.750
Au 0.401 0.599 0.026
Au 0.401 0.599 0.474
Au 0.599 0.401 0.526
Au 0.599 0.401 0.974
Au 0.675 0.325 0.250
```

Values from the calculation:
Space-group type ... Cmcm
E_form ... -0.11 eV/atom

3.
Computed, not measured: crystalline NbInGe at its relaxed geometry at the PBE level of DFT. Values from VASP.

```
&SYSTEM
  ibrav = 0, nat = 6, ntyp = 3
/
ATOMIC_SPECIES
Nb 92.91 Nb.upf
In 114.82 In.upf
Ge 72.64 Ge.upf
CELL_PARAMETERS angstrom
5.878 -1.498 0.000
5.878 1.498 0.000
-2.547 0.000 6.896
ATOMIC_POSITIONS crystal
Nb 0.121 0.121 0.485
Nb 0.879 0.879 0.515
In 0.413 0.413 0.184
In 0.587 0.587 0.816
Ge 0.327 0.327 0.794
Ge 0.673 0.673 0.206
```

Values from the calculation:
Space-group type ... C2/m
E_form ... -0.03 eV/atom

4.
Computed, not measured: crystalline AgRh2Se at its relaxed geometry at the PBE level of DFT. Values from VASP.

```
&SYSTEM
  ibrav = 0, nat = 4, ntyp = 3
/
ATOMIC_SPECIES
Ag 107.87 Ag.upf
Rh 102.91 Rh.upf
Se 78.96 Se.upf
CELL_PARAMETERS angstrom
3.076 -3.400 0.000
3.076 3.400 0.000
0.000 0.000 3.029
ATOMIC_POSITIONS crystal
Ag 0.000 0.000 0.000
Rh 0.000 0.500 0.500
Rh 0.500 0.000 0.500
Se 0.500 0.500 0.000
```

Values from the calculation:
E_form (uncorrected) ... 231 meV/atom
Space-group type ... Cmmm

5.
Computed, not measured: crystalline CaErB12 at its relaxed geometry at the PBE level of DFT. Values from VASP.

```
&SYSTEM
  ibrav = 0, nat = 14, ntyp = 3
/
ATOMIC_SPECIES
Ca 40.08 Ca.upf
Er 167.26 Er.upf
B 10.81 B.upf
CELL_PARAMETERS angstrom
4.113 0.000 0.000
0.000 4.113 0.000
0.000 0.000 8.231
ATOMIC_POSITIONS crystal
Ca 0.000 0.000 0.000
Er 0.000 0.000 0.500
B 0.200 0.500 0.252
B 0.200 0.500 0.748
B 0.500 0.200 0.252
B 0.500 0.200 0.748
B 0.500 0.500 0.101
B 0.500 0.500 0.401
B 0.500 0.500 0.599
B 0.500 0.500 0.899
B 0.500 0.800 0.252
B 0.500 0.800 0.748
B 0.800 0.500 0.252
B 0.800 0.500 0.748
```

Values from the calculation:
Space-group type ... P4/mmm
E_form ... -0.40 eV/atom

6.
Computed, not measured: crystalline PmYEr14 at its relaxed geometry at the PBE level of DFT. Values from VASP.

```
&SYSTEM
  ibrav = 0, nat = 16, ntyp = 3
/
ATOMIC_SPECIES
Pm 145.00 Pm.upf
Y 88.91 Y.upf
Er 167.26 Er.upf
CELL_PARAMETERS angstrom
11.372 0.000 0.000
0.000 3.539 6.128
0.000 -3.539 6.128
ATOMIC_POSITIONS crystal
Pm 0.000 0.000 0.000
Y 0.000 0.500 0.500
Er 0.000 0.000 0.501
Er 0.000 0.501 0.000
Er 0.251 0.167 0.167
Er 0.251 0.668 0.668
Er 0.253 0.167 0.667
Er 0.253 0.667 0.167
Er 0.500 0.334 0.334
Er 0.500 0.334 0.834
Er 0.500 0.834 0.334
Er 0.500 0.834 0.834
Er 0.747 0.167 0.667
Er 0.747 0.667 0.167
Er 0.749 0.167 0.167
Er 0.749 0.668 0.668
```

Values from the calculation:
Space-group type ... Amm2
E_form ... 0.01 eV/atom

7.
Computed, not measured: crystalline TiSn at its relaxed geometry at the PBE level of DFT. Values from VASP.

```
&SYSTEM
  ibrav = 0, nat = 12, ntyp = 2
/
ATOMIC_SPECIES
Ti 47.87 Ti.upf
Sn 118.71 Sn.upf
CELL_PARAMETERS angstrom
7.637 0.000 0.000
-3.818 6.614 0.000
0.000 0.000 5.345
ATOMIC_POSITIONS crystal
Ti 0.108 0.641 0.250
Ti 0.359 0.467 0.250
Ti 0.467 0.108 0.750
Ti 0.533 0.892 0.250
Ti 0.641 0.533 0.750
Ti 0.892 0.359 0.750
Sn 0.083 0.780 0.750
Sn 0.220 0.303 0.750
Sn 0.303 0.083 0.250
Sn 0.697 0.917 0.750
Sn 0.780 0.697 0.250
Sn 0.917 0.220 0.250
```

Values from the calculation:
Space-group type ... P6_3/m
E_form ... 0.13 eV/atom

8.
Computed, not measured: crystalline Zr2V2W at its relaxed geometry at the PBE level of DFT. Values from VASP.

```
&SYSTEM
  ibrav = 0, nat = 10, ntyp = 3
/
ATOMIC_SPECIES
Zr 91.22 Zr.upf
V 50.94 V.upf
W 183.84 W.upf
CELL_PARAMETERS angstrom
6.322 0.000 0.000
0.000 6.322 0.000
0.000 0.000 4.648
ATOMIC_POSITIONS crystal
Zr 0.171 0.329 0.000
Zr 0.329 0.829 0.000
Zr 0.671 0.171 0.000
Zr 0.829 0.671 0.000
V 0.139 0.639 0.500
V 0.361 0.139 0.500
V 0.639 0.861 0.500
V 0.861 0.361 0.500
W 0.000 0.000 0.500
W 0.500 0.500 0.500
```

Values from the calculation:
Space-group type ... P4/mbm
E_form ... 0.26 eV/atom

9.
Computed, not measured: crystalline SrScCu10 at its relaxed geometry at the PBE level of DFT. Values from VASP.

```
&SYSTEM
  ibrav = 0, nat = 12, ntyp = 3
/
ATOMIC_SPECIES
Sr 87.62 Sr.upf
Sc 44.96 Sc.upf
Cu 63.55 Cu.upf
CELL_PARAMETERS angstrom
4.058 0.000 0.000
0.000 5.092 0.000
0.000 0.000 8.809
ATOMIC_POSITIONS crystal
Sr 0.000 0.000 0.000
Sc 0.000 0.500 0.500
Cu 0.000 0.000 0.345
Cu 0.000 0.000 0.655
Cu 0.000 0.500 0.185
Cu 0.000 0.500 0.815
Cu 0.500 0.000 0.500
Cu 0.500 0.258 0.263
Cu 0.500 0.258 0.737
Cu 0.500 0.500 0.000
Cu 0.500 0.742 0.263
Cu 0.500 0.742 0.737
```

Values from the calculation:
Space-group type ... Pmmm
E_form ... -0.09 eV/atom

10.
Computed, not measured: crystalline Sr8RuRh3O16 at its relaxed geometry at the PBE level of DFT. Values from VASP.

```
&SYSTEM
  ibrav = 0, nat = 28, ntyp = 4
/
ATOMIC_SPECIES
Sr 87.62 Sr.upf
Ru 101.07 Ru.upf
Rh 102.91 Rh.upf
O 16.00 O.upf
CELL_PARAMETERS angstrom
-2.754 2.754 13.099
2.754 -2.754 13.099
2.754 2.754 -13.099
ATOMIC_POSITIONS crystal
Sr 0.074 0.574 0.500
Sr 0.175 0.175 0.000
Sr 0.325 0.325 0.000
Sr 0.426 0.926 0.500
Sr 0.574 0.074 0.500
Sr 0.675 0.675 0.000
Sr 0.825 0.825 0.000
Sr 0.926 0.426 0.500
Ru 0.750 0.250 0.500
Rh 0.000 0.000 0.000
Rh 0.250 0.750 0.500
Rh 0.500 0.500 0.000
O 0.046 0.055 0.601
O 0.080 0.080 0.000
O 0.169 0.669 0.500
O 0.194 0.694 0.888
O 0.306 0.194 0.500
O 0.331 0.831 0.500
O 0.420 0.420 0.000
O 0.454 0.445 0.399
O 0.555 0.954 0.008
O 0.580 0.580 0.000
O 0.671 0.171 0.500
O 0.694 0.806 0.500
O 0.806 0.306 0.112
O 0.829 0.329 0.500
O 0.920 0.920 0.000
O 0.945 0.546 0.992
```

Values from the calculation:
E_form (uncorrected) ... -2007 meV/atom
Space-group type ... I-4

11.
Computed, not measured: crystalline Te2IrIN at its relaxed geometry at the PBE level of DFT. Values from VASP.

```
&SYSTEM
  ibrav = 0, nat = 5, ntyp = 4
/
ATOMIC_SPECIES
Te 127.60 Te.upf
Ir 192.22 Ir.upf
I 126.90 I.upf
N 14.01 N.upf
CELL_PARAMETERS angstrom
5.724 0.000 0.000
0.000 5.724 0.000
0.000 0.000 3.682
ATOMIC_POSITIONS crystal
Te 0.000 0.500 0.000
Te 0.500 0.000 0.000
Ir 0.000 0.000 0.000
I 0.500 0.500 0.500
N 0.000 0.000 0.500
```

Values from the calculation:
E_form (uncorrected) ... 419 meV/atom
Space-group type ... P4/mmm

12.
Computed, not measured: crystalline Li2SnC at its relaxed geometry at the PBE level of DFT. Values from VASP.

```
&SYSTEM
  ibrav = 0, nat = 4, ntyp = 3
/
ATOMIC_SPECIES
Li 6.94 Li.upf
Sn 118.71 Sn.upf
C 12.01 C.upf
CELL_PARAMETERS angstrom
0.000 3.036 3.036
3.036 0.000 3.036
3.036 3.036 0.000
ATOMIC_POSITIONS crystal
Li 0.250 0.250 0.250
Li 0.750 0.750 0.750
Sn 0.000 0.000 0.000
C 0.500 0.500 0.500
```

Values from the calculation:
Space-group type ... Fm-3m
E_form ... 0.81 eV/atom

13.
Computed, not measured: crystalline LaAgSnSe3 at its relaxed geometry at the PBE level of DFT. Values from VASP.

```
&SYSTEM
  ibrav = 0, nat = 12, ntyp = 4
/
ATOMIC_SPECIES
La 138.91 La.upf
Ag 107.87 Ag.upf
Sn 118.71 Sn.upf
Se 78.96 Se.upf
CELL_PARAMETERS angstrom
8.768 0.000 0.000
0.000 4.149 0.000
-1.696 0.000 9.148
ATOMIC_POSITIONS crystal
La 0.169 0.250 0.224
La 0.831 0.750 0.776
Ag 0.093 0.250 0.583
Ag 0.907 0.750 0.417
Sn 0.341 0.750 0.839
Sn 0.659 0.250 0.161
Se 0.094 0.250 0.875
Se 0.237 0.750 0.472
Se 0.403 0.750 0.147
Se 0.597 0.250 0.853
Se 0.763 0.250 0.528
Se 0.906 0.750 0.125
```

Values from the calculation:
E_form (uncorrected) ... -993 meV/atom
Space-group type ... P2_1/m

14.
Computed, not measured: crystalline Sr2EuTaCu2O8 at its relaxed geometry at the PBE level of DFT. Values from VASP.

```
&SYSTEM
  ibrav = 0, nat = 14, ntyp = 5
/
ATOMIC_SPECIES
Sr 87.62 Sr.upf
Eu 151.96 Eu.upf
Ta 180.95 Ta.upf
Cu 63.55 Cu.upf
O 16.00 O.upf
CELL_PARAMETERS angstrom
3.935 0.000 0.000
0.000 3.935 0.000
0.000 0.000 11.785
ATOMIC_POSITIONS crystal
Sr 0.000 0.000 0.201
Sr 0.000 0.000 0.799
Eu 0.000 0.000 0.500
Ta 0.500 0.500 0.000
Cu 0.500 0.500 0.356
Cu 0.500 0.500 0.644
O 0.000 0.500 0.000
O 0.000 0.500 0.368
O 0.000 0.500 0.632
O 0.500 0.000 0.000
O 0.500 0.000 0.368
O 0.500 0.000 0.632
O 0.500 0.500 0.168
O 0.500 0.500 0.832
```

Values from the calculation:
E_form (uncorrected) ... -2253 meV/atom
Space-group type ... P4/mmm

15.
Computed, not measured: crystalline Cs2SeCl at its relaxed geometry at the PBE level of DFT. Values from VASP.

```
&SYSTEM
  ibrav = 0, nat = 8, ntyp = 3
/
ATOMIC_SPECIES
Cs 132.91 Cs.upf
Se 78.96 Se.upf
Cl 35.45 Cl.upf
CELL_PARAMETERS angstrom
-4.637 4.637 5.072
4.637 -4.637 5.072
4.637 4.637 -5.072
ATOMIC_POSITIONS crystal
Cs 0.102 0.625 0.977
Cs 0.375 0.352 0.477
Cs 0.648 0.125 0.023
Cs 0.875 0.898 0.523
Se 0.250 0.750 0.500
Se 0.500 0.500 0.000
Cl 0.000 0.000 0.000
Cl 0.750 0.250 0.500
```

Values from the calculation:
E_form (uncorrected) ... -1138 meV/atom
Space-group type ... I-42d

16.
Computed, not measured: crystalline Li4AsO at its relaxed geometry at the PBE level of DFT. Values from VASP.

```
&SYSTEM
  ibrav = 0, nat = 12, ntyp = 3
/
ATOMIC_SPECIES
Li 6.94 Li.upf
As 74.92 As.upf
O 16.00 O.upf
CELL_PARAMETERS angstrom
1.748 -7.205 0.000
1.748 7.205 0.000
0.000 0.000 6.554
ATOMIC_POSITIONS crystal
Li 0.025 0.975 0.500
Li 0.162 0.838 0.974
Li 0.187 0.813 0.352
Li 0.448 0.552 0.725
Li 0.552 0.448 0.225
Li 0.813 0.187 0.852
Li 0.838 0.162 0.474
Li 0.975 0.025 0.000
As 0.347 0.653 0.159
As 0.653 0.347 0.659
O 0.077 0.923 0.193
O 0.923 0.077 0.693
```

Values from the calculation:
E_form (uncorrected) ... -1121 meV/atom
Space-group type ... Cmc2_1